[1]
Entry from Alexandria: a relaxed CePr3Hg6 crystal (PBE).

The space group is No. 11. Its energy of formation is -0.40 eV per atom. As for the theoretical density: 10.5 g cm⁻³.

abc: 5.2937 9.5854 11.4594
angles: 106.72 90.00 90.00
Last column: nearest neighbours and their distance in Å.
Fractional positions:
Hg1 0.7500 0.9392 0.0986  1 Ce 3.14, 4 Pr 3.14-3.36, 3 Hg 3.28-3.31
Ce1 0.7500 0.0630 0.3838  8 Hg 3.14-3.44
Hg2 0.7500 0.7641 0.4929  2 Pr 3.16-3.28, 3 Ce 3.23-3.44, 3 Hg 3.35-3.53
Pr1 0.7500 0.2262 0.0062  7 Hg 3.14-3.47
Pr2 0.7500 0.4924 0.6139  4 Hg 3.10-3.30
Pr3 0.2500 0.7738 0.9938  7 Hg 3.14-3.47
Pr4 0.2500 0.3526 0.7950  8 Hg 3.16-3.36
Hg3 0.2500 0.1382 0.2020  7 Hg 3.28-3.47, 2 Pr 3.56-3.62, 2 Ce 3.57
Pr5 0.7500 0.6474 0.2050  8 Hg 3.16-3.36
Hg4 0.2500 0.6565 0.7054  4 Pr 3.10-3.36, 1 Ce 3.14, 2 Hg 3.29
Hg5 0.7500 0.1601 0.6836  4 Pr 3.27-3.57, 3 Ce 3.29-3.35, 3 Hg 3.47-3.53
Hg6 0.2500 0.4616 0.0893  7 Pr 3.23-3.47, 2 Hg 3.55
Hg7 0.2500 0.0608 0.9014  1 Ce 3.14, 4 Pr 3.14-3.36, 3 Hg 3.28-3.31
Hg8 0.7500 0.8618 0.7980  7 Hg 3.28-3.47, 2 Pr 3.56-3.62, 2 Ce 3.57
Hg9 0.2500 0.8399 0.3164  4 Pr 3.27-3.57, 3 Ce 3.29-3.35, 3 Hg 3.47-3.53
Hg10 0.7500 0.5384 0.9107  7 Pr 3.23-3.47, 2 Hg 3.55
Hg11 0.7500 0.3435 0.2946  4 Pr 3.10-3.36, 1 Ce 3.14, 2 Hg 3.29
Hg12 0.2500 0.2359 0.5071  2 Pr 3.16-3.28, 3 Ce 3.23-3.44, 3 Hg 3.35-3.53
Pr6 0.2500 0.5076 0.3861  4 Hg 3.10-3.30
Ce2 0.2500 0.9370 0.6162  8 Hg 3.14-3.44

***

[2]
Entry from Alexandria: a relaxed CePr5Hg3 crystal (PBE).

The space group is No. 193. Its energy of formation is -0.25 eV per atom. As for the theoretical density: 8.8 g cm⁻³.

abc: 7.0327 9.4829 9.4830
angles: 120.00 90.00 90.00
Last column: nearest neighbours and their distance in Å.
Fractional positions:
Pr1 0.0000 0.3334 0.6667  8 Pr 3.52-3.65, 6 Hg 3.59
Pr2 0.5000 0.3334 0.6667  8 Pr 3.52-3.65, 6 Hg 3.59
Hg1 0.7500 0.3400 0.3400  5 Pr 3.15-3.52
Hg2 0.7500 0.6600 0.0000  5 Pr 3.15-3.52
Pr3 0.7500 0.0000 0.3248  5 Hg 3.15-3.52
Pr4 0.2500 0.0000 0.6752  5 Hg 3.15-3.52
Hg3 0.2500 0.3400 0.0000  5 Pr 3.15-3.52
Ce1 0.0000 0.0000 0.0000  2 Ce 3.52, 6 Pr 3.55, 6 Hg 3.67
Pr5 0.7500 0.3248 0.0000  5 Hg 3.15-3.52
Pr6 0.0000 0.6666 0.3333  8 Pr 3.52-3.65, 6 Hg 3.59
Hg4 0.7500 0.0000 0.6600  5 Pr 3.15-3.52
Hg5 0.2500 0.6600 0.6600  5 Pr 3.15-3.52
Pr7 0.2500 0.3248 0.3248  5 Hg 3.15-3.52
Ce2 0.5000 0.0000 0.0000  2 Ce 3.52, 6 Pr 3.55, 6 Hg 3.67
Hg6 0.2500 0.0000 0.3400  5 Pr 3.15-3.52
Pr8 0.5000 0.6666 0.3333  8 Pr 3.52-3.65, 6 Hg 3.59
Pr9 0.7500 0.6752 0.6752  5 Hg 3.15-3.52
Pr10 0.2500 0.6752 0.0000  5 Hg 3.15-3.52

***

[3]
Entry from Alexandria: a relaxed CePrHg2 crystal (PBE).

The space group is No. 123. Its energy of formation is -0.38 eV per atom. As for the theoretical density: 9.9 g cm⁻³.

abc: 3.8414 3.8414 7.7276
angles: 90.00 90.00 90.00
Last column: nearest neighbours and their distance in Å.
Fractional positions:
Hg1 0.0000 0.0000 0.2467  4 Ce 3.32, 4 Pr 3.35
Pr1 0.5000 0.5000 0.5000  8 Hg 3.35
Ce1 0.5000 0.5000 0.0000  8 Hg 3.32
Hg2 0.0000 0.0000 0.7533  4 Ce 3.32, 4 Pr 3.35

***

[4]
Entry from Alexandria: a relaxed CePr3Hg3 crystal (PBE).

The space group is No. 12. Its energy of formation is -0.24 eV per atom. As for the theoretical density: 9.3 g cm⁻³.

abc: 6.6494 6.6494 10.2597
angles: 90.59 90.59 112.97
Last column: nearest neighbours and their distance in Å.
Fractional positions:
Pr1 0.4451 0.4451 0.6782  5 Hg 3.30-3.47, 2 Ce 3.55-3.62
Hg1 0.0157 0.0157 0.7684  4 Hg 3.25-3.47, 5 Pr 3.30-3.48, 2 Ce 3.32-3.35
Pr2 0.8322 0.1678 0.5000  6 Hg 3.19-3.32
Ce1 0.6818 0.6818 0.9826  1 Ce 2.70
Pr3 0.1678 0.8322 0.5000  6 Hg 3.19-3.32
Ce2 0.3182 0.3182 0.0174  1 Ce 2.70
Hg2 0.9843 0.9843 0.2316  4 Hg 3.25-3.47, 5 Pr 3.30-3.48, 2 Ce 3.32-3.35
Pr4 0.7717 0.2283 0.0000  6 Hg 3.27-3.48, 4 Ce 3.30-3.45
Pr5 0.2283 0.7717 0.0000  6 Hg 3.27-3.48, 4 Ce 3.30-3.45
Pr6 0.5549 0.5549 0.3218  5 Hg 3.30-3.47, 2 Ce 3.55-3.62
Hg3 0.9604 0.5102 0.7377  6 Pr 3.19-3.47, 2 Hg 3.25-3.47, 1 Ce 3.57
Hg4 0.4898 0.0396 0.2623  6 Pr 3.19-3.47, 2 Hg 3.25-3.47, 1 Ce 3.57
Hg5 0.5102 0.9604 0.7377  6 Pr 3.19-3.47, 2 Hg 3.25-3.47, 1 Ce 3.57
Hg6 0.0396 0.4898 0.2623  6 Pr 3.19-3.47, 2 Hg 3.25-3.47, 1 Ce 3.57

***

[5]
Entry from Alexandria: a relaxed Ce2PrHg6 crystal (PBE).

The space group is No. 191. Its energy of formation is -0.39 eV per atom. As for the theoretical density: 11.7 g cm⁻³.

abc: 3.4233 8.8182 8.8182
angles: 120.00 90.00 90.00
Last column: nearest neighbours and their distance in Å.
Fractional positions:
Hg1 0.5000 0.3338 0.0000  3 Hg 2.93-2.94
Hg2 0.5000 0.6662 0.6662  3 Hg 2.93-2.94
Pr1 0.0000 0.0000 0.0000  12 Hg 3.40, 2 Pr 3.42
Ce1 0.0000 0.6667 0.3333  12 Hg 3.40, 2 Ce 3.42
Hg3 0.5000 0.3338 0.3338  3 Hg 2.93-2.94
Hg4 0.5000 0.0000 0.6662  3 Hg 2.93-2.94
Hg5 0.5000 0.6662 0.0000  3 Hg 2.93-2.94
Hg6 0.5000 0.0000 0.3338  3 Hg 2.93-2.94
Ce2 0.0000 0.3333 0.6667  12 Hg 3.40, 2 Ce 3.42

***

[6]
Entry from Alexandria: a relaxed CePrHg2 crystal (PBE).

The space group is No. 225. Its energy of formation is -0.37 eV per atom. As for the theoretical density: 9.9 g cm⁻³.

abc: 5.4443 5.4443 5.4443
angles: 60.00 60.00 60.00
Last column: nearest neighbours and their distance in Å.
Fractional positions:
Pr1 0.0000 0.0000 0.0000  8 Hg 3.33
Ce1 0.5000 0.5000 0.5000  8 Hg 3.33
Hg1 0.7500 0.7500 0.7500  4 Ce 3.33, 4 Pr 3.33
Hg2 0.2500 0.2500 0.2500  4 Ce 3.33, 4 Pr 3.33

***

[7]
Entry from Alexandria: a relaxed Ce3Pr2Hg6 crystal (PBE).

The space group is No. 139. Its energy of formation is 0.00 eV per atom. As for the theoretical density: 8.5 g cm⁻³.

abc: 5.1392 5.1392 14.5397
angles: 100.18 100.18 90.00
Last column: nearest neighbours and their distance in Å.
Fractional positions:
Hg1 0.5667 0.0667 0.1334  4 Ce 3.18-3.24, 2 Pr 3.20
Ce1 0.0000 0.0000 0.0000  8 Hg 3.18
Ce2 0.8634 0.8634 0.7268  5 Hg 3.24
Hg2 0.2516 0.2516 0.5032  1 Pr 3.22, 1 Ce 3.24
Hg3 0.0667 0.5667 0.1334  4 Ce 3.18-3.24, 2 Pr 3.20
Hg4 0.7484 0.7484 0.4968  1 Pr 3.22, 1 Ce 3.24
Ce3 0.1366 0.1366 0.2732  5 Hg 3.24
Pr1 0.3658 0.3658 0.7317  5 Hg 3.20-3.22
Hg5 0.9333 0.4333 0.8666  4 Ce 3.18-3.24, 2 Pr 3.20
Pr2 0.6342 0.6342 0.2683  5 Hg 3.20-3.22
Hg6 0.4333 0.9333 0.8666  4 Ce 3.18-3.24, 2 Pr 3.20

***

[8]
Entry from Alexandria: a relaxed CePrHg crystal (PBE).

The space group is No. 12. Its energy of formation is -0.20 eV per atom. As for the theoretical density: 9.2 g cm⁻³.

abc: 4.3273 6.2726 7.1010
angles: 74.01 90.00 69.83
Last column: nearest neighbours and their distance in Å.
Fractional positions:
Ce1 0.6095 0.0720 0.7567  2 Ce 2.77
Hg1 0.9715 0.3479 0.3879  3 Ce 3.16-3.42, 3 Pr 3.23-3.34, 2 Hg 3.29
Pr1 0.2684 0.7543 0.5241  5 Hg 3.23-3.56, 1 Pr 3.47, 4 Ce 3.57-3.58
Ce2 0.9849 0.3212 0.8388  2 Ce 2.77
Pr2 0.3261 0.6389 0.0715  5 Hg 3.23-3.56, 1 Pr 3.47, 4 Ce 3.57-3.58
Hg2 0.6230 0.0452 0.2077  3 Ce 3.16-3.42, 3 Pr 3.23-3.34, 2 Hg 3.29

***

[9]
Entry from Alexandria: a relaxed Ce2PrHg8 crystal (PBE).

The space group is No. 71. Its energy of formation is -0.30 eV per atom. As for the theoretical density: 11.4 g cm⁻³.

abc: 5.2592 7.3843 8.8271
angles: 114.73 107.33 90.00
Last column: nearest neighbours and their distance in Å.
Fractional positions:
Hg1 0.0000 0.2864 0.0000  7 Hg 3.15-3.47, 2 Ce 3.28, 2 Pr 3.37
Hg2 0.1606 0.1606 0.3212  8 Hg 3.22-3.37, 2 Ce 3.47, 2 Pr 3.58
Hg3 0.3506 0.1360 0.7013  1 Pr 3.09, 3 Ce 3.13-3.22, 4 Hg 3.17-3.37
Hg4 0.6494 0.4347 0.2987  1 Pr 3.09, 3 Ce 3.13-3.22, 4 Hg 3.17-3.37
Hg5 0.8394 0.8394 0.6788  8 Hg 3.22-3.37, 2 Ce 3.47, 2 Pr 3.58
Hg6 0.3506 0.5653 0.7013  1 Pr 3.09, 3 Ce 3.13-3.22, 4 Hg 3.17-3.37
Hg7 0.0000 0.7136 0.0000  7 Hg 3.15-3.47, 2 Ce 3.28, 2 Pr 3.37
Pr1 0.5000 0.0000 0.0000  8 Hg 3.09-3.37
Ce1 0.8104 0.3104 0.6208  10 Hg 3.13-3.47
Hg8 0.6494 0.8640 0.2987  1 Pr 3.09, 3 Ce 3.13-3.22, 4 Hg 3.17-3.37
Ce2 0.1896 0.6896 0.3792  10 Hg 3.13-3.47

***

[10]
Entry from Alexandria: a relaxed CePr4Hg3 crystal (PBE).

The space group is No. 47. Its energy of formation is -0.30 eV per atom. As for the theoretical density: 9.2 g cm⁻³.

abc: 3.7151 5.5782 11.3102
angles: 90.00 90.00 90.00
Last column: nearest neighbours and their distance in Å.
Fractional positions:
Pr1 0.0000 0.0000 0.0000  4 Hg 3.33, 4 Ce 3.35, 2 Pr 3.72
Pr2 0.0000 0.5000 0.2591  6 Hg 3.30-3.36, 2 Ce 3.47
Pr3 0.0000 0.0000 0.5000  8 Hg 3.35-3.44, 2 Pr 3.72
Hg1 0.5000 0.0000 0.7560  8 Pr 3.33-3.44, 2 Hg 3.72
Hg2 0.5000 0.5000 0.5000  8 Pr 3.30-3.35
Hg3 0.5000 0.0000 0.2440  8 Pr 3.33-3.44, 2 Hg 3.72
Ce1 0.5000 0.5000 0.0000  8 Pr 3.35-3.47, 2 Ce 3.72
Pr4 0.0000 0.5000 0.7409  6 Hg 3.30-3.36, 2 Ce 3.47

***

[11]
Entry from Alexandria: a relaxed CePrHgPt crystal (PBE).

The space group is No. 216. Its energy of formation is -0.62 eV per atom. As for the theoretical density: 10.9 g cm⁻³.

abc: 5.2591 5.2591 5.2591
angles: 60.00 60.00 60.00
Last column: nearest neighbours and their distance in Å.
Fractional positions:
Pt1 0.7500 0.7500 0.7500  4 Ce 3.22, 4 Pr 3.22
Pr1 0.5000 0.5000 0.5000  4 Hg 3.22, 4 Pt 3.22
Ce1 0.0000 0.0000 0.0000  4 Pt 3.22, 4 Hg 3.22
Hg1 0.2500 0.2500 0.2500  4 Ce 3.22, 4 Pr 3.22

***

[12]
Entry from Alexandria: a relaxed CePrHgRh crystal (PBE).

The space group is No. 216. Its energy of formation is -0.42 eV per atom. As for the theoretical density: 9.7 g cm⁻³.

abc: 5.2168 5.2168 5.2168
angles: 60.00 60.00 60.00
Last column: nearest neighbours and their distance in Å.
Fractional positions:
Hg1 0.7500 0.7500 0.7500  4 Ce 3.19, 4 Pr 3.19
Pr1 0.0000 0.0000 0.0000  4 Rh 3.19, 4 Hg 3.19
Rh1 0.2500 0.2500 0.2500  4 Ce 3.19, 4 Pr 3.19
Ce1 0.5000 0.5000 0.5000  4 Hg 3.19, 4 Rh 3.19